[1]
Compound: Ti3NiAs
Source: the Alexandria database
Functional: PBE
Structure: optimized geometry

a = 4.4957 Å, b = 4.4957 Å, c = 4.4957 Å
α = 90.00°, β = 90.00°, γ = 90.00°
With the nearest neighbours (Å) after each atom.
Positions (direct):
1 Ti 0.0000 0.0000 0.5000  2 Ni 2.25
2 Ti 0.0000 0.5000 0.0000  2 Ni 2.25
3 Ti 0.5000 0.0000 0.0000  2 Ni 2.25
4 Ni 0.0000 0.0000 0.0000  6 Ti 2.25
5 As 0.5000 0.5000 0.5000  12 Ti 3.18

Properties
density of states at the Fermi level	4.82	states/eV per cell
formation enthalpy at 0 K	95.9	meV per atom
polymorph energy (0 for the lowest one)	0.000	eV/atom
space group	Pm-3m (221)

***

[2]
Compound: Ti2Ni4As
Source: the Alexandria database
Functional: PBE
Structure: optimized geometry

a = 7.0631 Å, b = 7.0631 Å, c = 7.0631 Å
α = 145.49°, β = 145.49°, γ = 49.61°
With the nearest neighbours (Å) after each atom.
Positions (direct):
1 Ti 0.1472 0.1472 0.0000  1 Ni 2.22
2 Ti 0.8528 0.8528 0.0000  1 Ni 2.22
3 Ni 0.0000 0.5000 0.5000  2 As 2.10
4 Ni 0.3207 0.3207 0.0000  1 Ti 2.22, 1 As 2.30
5 Ni 0.5000 0.0000 0.5000  2 As 2.10
6 Ni 0.6793 0.6793 0.0000  1 Ti 2.22, 1 As 2.30
7 As 0.5000 0.5000 0.0000  6 Ni 2.10-2.30

Properties
density of states at the Fermi level	7.34	states/eV per cell
formation enthalpy at 0 K	379.3	meV per atom
space group	I4/mmm (139)

***

[3]
Compound: Ti5Ni2As5
Source: the Alexandria database
Functional: PBE
Structure: optimized geometry

a = 6.5726 Å, b = 6.5726 Å, c = 6.5726 Å
α = 103.45°, β = 103.45°, γ = 122.33°
With the nearest neighbours (Å) after each atom.
Positions (direct):
1 Ti 0.0000 0.0000 0.0000  5 As 2.49-2.59
2 Ti 0.1995 0.1995 0.5944  5 As 2.63-2.73
3 Ti 0.1995 0.6052 0.0000  5 As 2.63-2.73
4 Ti 0.6052 0.1995 0.0000  5 As 2.63-2.73
5 Ti 0.6052 0.6052 0.4056  5 As 2.63-2.73
6 Ni 0.3554 0.8554 0.5000  4 As 2.29-2.31
7 Ni 0.8554 0.3554 0.5000  4 As 2.29-2.31
8 As 0.1032 0.3987 0.2954  2 Ni 2.29-2.31, 1 Ti 2.49
9 As 0.1032 0.8078 0.7046  2 Ni 2.29-2.31, 1 Ti 2.49
10 As 0.3987 0.1032 0.2954  2 Ni 2.29-2.31, 1 Ti 2.49
11 As 0.5917 0.5917 0.0000  5 Ti 2.59-2.63
12 As 0.8078 0.1032 0.7046  2 Ni 2.29-2.31, 1 Ti 2.49

Properties
density of states at the Fermi level	11.31	states/eV per cell
formation enthalpy at 0 K	-531.5	meV per atom
space group	I4mm (107)

***

[4]
Compound: TiNiAs2
Source: the Alexandria database
Functional: PBE
Structure: optimized geometry

a = 5.9059 Å, b = 5.9059 Å, c = 5.9059 Å
α = 36.51°, β = 36.51°, γ = 36.51°
With the nearest neighbours (Å) after each atom.
Positions (direct):
1 Ti 0.0000 0.0000 0.0000  6 As 2.61
2 Ni 0.5000 0.5000 0.5000  6 As 2.48
3 As 0.2426 0.2426 0.2426  3 Ni 2.48, 3 Ti 2.61
4 As 0.7574 0.7574 0.7574  3 Ni 2.48, 3 Ti 2.61

Properties
density of states at the Fermi level	4.76	states/eV per cell
formation enthalpy at 0 K	-295.5	meV per atom
space group	R-3m (166)

***

[5]
Compound: TiTlNi2As
Source: the Alexandria database
Functional: PBE
Structure: optimized geometry

a = 4.4548 Å, b = 4.4548 Å, c = 5.3074 Å
α = 90.00°, β = 90.00°, γ = 90.00°
With the nearest neighbours (Å) after each atom.
Positions (direct):
1 Ti 0.0000 0.0000 0.0000  4 Ni 2.23
2 Tl 0.0000 0.0000 0.5000  2 Ti 2.65
3 Ni 0.0000 0.5000 0.0000  2 Ti 2.23
4 Ni 0.5000 0.0000 0.0000  2 Ti 2.23
5 As 0.5000 0.5000 0.5000  4 Tl 3.15, 8 Ni 3.46

Properties
density of states at the Fermi level	3.59	states/eV per cell
formation enthalpy at 0 K	1011.9	meV per atom
space group	P4/mmm (123)

***

[6]
Compound: TlNi2As
Source: the Alexandria database
Functional: PBE
Structure: optimized geometry

a = 3.9594 Å, b = 3.9594 Å, c = 6.3345 Å
α = 116.84°, β = 116.84°, γ = 57.95°
With the nearest neighbours (Å) after each atom.
Positions (direct):
1 Tl 0.0000 0.0000 0.0000  4 Ni 2.89
2 Ni 0.2254 0.2254 0.6192  3 As 2.34-2.38, 2 Ni 2.57
3 Ni 0.7746 0.7746 0.3808  3 As 2.34-2.38, 2 Ni 2.57
4 As 0.5000 0.5000 0.5000  6 Ni 2.34-2.38

Properties
density of states at the Fermi level	2.55	states/eV per cell
formation enthalpy at 0 K	6.5	meV per atom
space group	C2/m (12)

***

[7]
Compound: TlNiAs2
Source: the Alexandria database
Functional: PBE
Structure: optimized geometry

a = 5.0506 Å, b = 5.0506 Å, c = 5.0506 Å
α = 128.54°, β = 128.54°, γ = 75.75°
With the nearest neighbours (Å) after each atom.
Positions (direct):
1 Tl 0.0000 0.0000 0.0000  8 As 2.96-3.10, 4 Ni 2.96
2 Ni 0.7500 0.2500 0.5000  8 As 2.96-3.10, 4 Tl 2.96
3 As 0.2500 0.7500 0.5000  4 As 2.96, 4 Tl 2.96, 4 Ni 3.10
4 As 0.5000 0.5000 0.0000  4 Ni 2.96, 4 As 2.96, 4 Tl 3.10

Properties
density of states at the Fermi level	2.36	states/eV per cell
formation enthalpy at 0 K	478.9	meV per atom
polymorph energy (0 for the lowest one)	0.608	eV/atom
space group	I-4m2 (119)

***

[8]
Compound: TlNi2As
Source: the Alexandria database
Functional: PBE
Structure: optimized geometry

a = 4.5784 Å, b = 4.5784 Å, c = 4.5784 Å
α = 129.10°, β = 111.46°, γ = 90.21°
With the nearest neighbours (Å) after each atom.
Positions (direct):
1 Tl 0.0000 0.0000 0.0000  8 Ni 2.74-2.90
2 Ni 0.2944 0.7944 0.5000  2 As 2.37, 1 Ni 2.66
3 Ni 0.7056 0.2056 0.5000  2 As 2.37, 1 Ni 2.66
4 As 0.5000 0.5000 0.0000  4 Ni 2.37

Properties
density of states at the Fermi level	2.58	states/eV per cell
formation enthalpy at 0 K	226.8	meV per atom
space group	Immm (71)

***

[9]
Compound: TlNiAs2
Source: the Alexandria database
Functional: PBE
Structure: optimized geometry

a = 4.1987 Å, b = 3.9988 Å, c = 5.5371 Å
α = 90.00°, β = 92.71°, γ = 90.00°
With the nearest neighbours (Å) after each atom.
Positions (direct):
1 Tl 0.0000 0.0000 0.0000  2 Ni 3.05, 3 As 3.29-3.40
2 Ni 0.6273 0.5000 0.2906  4 As 2.32-2.43
3 As 0.1241 0.5000 0.4918  2 Ni 2.32-2.43
4 As 0.5355 0.0000 0.5041  2 Ni 2.36, 2 As 2.64

Properties
density of states at the Fermi level	1.65	states/eV per cell
formation enthalpy at 0 K	88.1	meV per atom
polymorph energy (0 for the lowest one)	0.218	eV/atom
space group	Pm (6)

***

[10]
Compound: TlNi2As
Source: the Alexandria database
Functional: PBE
Structure: optimized geometry

a = 3.2013 Å, b = 3.0163 Å, c = 6.9810 Å
α = 90.00°, β = 102.16°, γ = 90.00°
With the nearest neighbours (Å) after each atom.
Positions (direct):
1 Tl 0.0000 0.0000 0.0000  4 Ni 2.74, 2 Tl 3.02
2 Ni 0.0851 0.5000 0.6832  1 Ni 2.50, 4 As 2.53, 2 Tl 2.74
3 Ni 0.9149 0.5000 0.3168  1 Ni 2.50, 4 As 2.53, 2 Tl 2.74
4 As 0.5000 0.0000 0.5000  8 Ni 2.53

Properties
density of states at the Fermi level	2.07	states/eV per cell
formation enthalpy at 0 K	94.2	meV per atom
space group	P2/m (10)

***

[11]
Compound: TlNiAs3
Source: the Alexandria database
Functional: PBE
Structure: optimized geometry

a = 4.7552 Å, b = 4.7552 Å, c = 4.7552 Å
α = 90.00°, β = 90.00°, γ = 90.00°
With the nearest neighbours (Å) after each atom.
Positions (direct):
1 Tl 0.0000 0.0000 0.0000  12 As 3.36
2 Ni 0.5000 0.5000 0.5000  6 As 2.38
3 As 0.0000 0.5000 0.5000  2 Ni 2.38
4 As 0.5000 0.0000 0.5000  2 Ni 2.38
5 As 0.5000 0.5000 0.0000  2 Ni 2.38

Properties
density of states at the Fermi level	3.74	states/eV per cell
formation enthalpy at 0 K	356.6	meV per atom
polymorph energy (0 for the lowest one)	0.000	eV/atom
space group	Pm-3m (221)

***

[12]
Compound: TlNiAs2
Source: the Alexandria database
Functional: PBE
Structure: optimized geometry

a = 2.9925 Å, b = 2.9925 Å, c = 8.9627 Å
α = 90.00°, β = 90.00°, γ = 90.10°
With the nearest neighbours (Å) after each atom.
Positions (direct):
1 Tl 0.0000 0.0000 0.0000  4 Tl 2.99
2 Ni 0.0000 0.0000 0.5000  8 As 2.60
3 As 0.5000 0.5000 0.3319  4 Ni 2.60
4 As 0.5000 0.5000 0.6681  4 Ni 2.60

Properties
density of states at the Fermi level	1.42	states/eV per cell
formation enthalpy at 0 K	25.6	meV per atom
polymorph energy (0 for the lowest one)	0.155	eV/atom
space group	Cmmm (65)